A relaxed Ba3Li4Sn4 crystal, computed with PBE.

Lattice parameters (Å, degrees): 14.4492 14.4492 14.4492 160.51 160.22 27.90
With the nearest neighbours (Å) after each atom.
Positions (direct):
1 Ba 0.0000 0.0000 0.0000  4 Li 3.75, 8 Sn 3.77
2 Ba 0.3449 0.8449 0.5000  8 Li 3.62-3.79, 7 Sn 3.72-4.03
3 Ba 0.6551 0.1551 0.5000  8 Li 3.62-3.79, 7 Sn 3.72-4.03
4 Li 0.1016 0.6016 0.5000  3 Sn 2.79-2.86
5 Li 0.2498 0.2498 0.0000  4 Sn 2.80-2.84
6 Li 0.7502 0.7502 0.0000  4 Sn 2.80-2.84
7 Li 0.8984 0.3984 0.5000  3 Sn 2.79-2.86
8 Sn 0.2012 0.7012 0.5000  5 Li 2.79-2.84
9 Sn 0.4489 0.4489 0.0000  2 Li 2.86, 1 Sn 2.87
10 Sn 0.5511 0.5511 0.0000  2 Li 2.86, 1 Sn 2.87
11 Sn 0.7988 0.2988 0.5000  5 Li 2.79-2.84

Results
Symmetry: Immm
Energy relative to the elements: -0.475 eV per atom
Magnetization: 0.0 μB/f.u.
ρ: 4.46 g/cm3



A relaxed BaLi2Sn2 crystal, computed with PBE.

Lattice parameters (Å, degrees): 4.5770 4.5770 7.6318 90.00 90.00 114.00
With the nearest neighbours (Å) after each atom.
Positions (direct):
1 Ba 0.0000 0.0000 0.0000  4 Sn 3.47
2 Li 0.1669 0.8331 0.5000  3 Li 2.56-2.80
3 Li 0.8331 0.1669 0.5000  3 Li 2.56-2.80
4 Sn 0.5000 0.5000 0.3155  1 Sn 2.82, 6 Li 2.92-3.14
5 Sn 0.5000 0.5000 0.6845  1 Sn 2.82, 6 Li 2.92-3.14

Results
Symmetry: Cmmm
Energy above the most stable polymorph in this dataset: 0.072 eV/atom
Energy relative to the elements: -0.416 eV per atom
Magnetization: 0.0 μB/f.u.
ρ: 4.42 g/cm3



A relaxed BaLi4Sn12 crystal, computed with PBE.

Lattice parameters (Å, degrees): 8.3937 8.3937 8.3937 109.47 109.47 109.47
With the nearest neighbours (Å) after each atom.
Positions (direct):
1 Ba 0.0000 0.0000 0.0000  12 Sn 3.81, 8 Li 4.20
2 Li 0.0000 0.0000 0.5000  6 Sn 2.69
3 Li 0.0000 0.5000 0.0000  6 Sn 2.69
4 Li 0.5000 0.0000 0.0000  6 Sn 2.69
5 Li 0.5000 0.5000 0.5000  6 Sn 2.69
6 Sn 0.1674 0.3488 0.8186  2 Li 2.69, 1 Sn 2.93
7 Sn 0.1814 0.5302 0.3488  2 Li 2.69, 1 Sn 2.93
8 Sn 0.1814 0.8326 0.6512  2 Li 2.69, 1 Sn 2.93
9 Sn 0.3488 0.1814 0.5302  2 Li 2.69, 1 Sn 2.93
10 Sn 0.3488 0.8186 0.1674  2 Li 2.69, 1 Sn 2.93
11 Sn 0.4698 0.6512 0.8186  2 Li 2.69, 1 Sn 2.93
12 Sn 0.5302 0.3488 0.1814  2 Li 2.69, 1 Sn 2.93
13 Sn 0.6512 0.1814 0.8326  2 Li 2.69, 1 Sn 2.93
14 Sn 0.6512 0.8186 0.4698  2 Li 2.69, 1 Sn 2.93
15 Sn 0.8186 0.1674 0.3488  2 Li 2.69, 1 Sn 2.93
16 Sn 0.8186 0.4698 0.6512  2 Li 2.69, 1 Sn 2.93
17 Sn 0.8326 0.6512 0.1814  2 Li 2.69, 1 Sn 2.93

Results
Symmetry: Im-3
Energy relative to the elements: -0.071 eV per atom
Magnetization: 0.0 μB/f.u.
ρ: 5.80 g/cm3



A relaxed BaLi3Sn3 crystal, computed with PBE.

Lattice parameters (Å, degrees): 7.2535 7.2535 7.2535 84.46 84.46 84.46
With the nearest neighbours (Å) after each atom.
Positions (direct):
1 Ba 0.1855 0.1855 0.1855  6 Sn 3.59-3.80, 6 Li 3.70-3.96
2 Ba 0.8145 0.8145 0.8145  6 Sn 3.59-3.80, 6 Li 3.70-3.96
3 Li 0.1906 0.5005 0.6005  4 Sn 2.81-3.03, 2 Li 2.82
4 Li 0.3995 0.8094 0.4995  4 Sn 2.81-3.03, 2 Li 2.82
5 Li 0.4995 0.3995 0.8094  4 Sn 2.81-3.03, 2 Li 2.82
6 Li 0.5005 0.6005 0.1906  4 Sn 2.81-3.03, 2 Li 2.82
7 Li 0.6005 0.1906 0.5005  4 Sn 2.81-3.03, 2 Li 2.82
8 Li 0.8094 0.4995 0.3995  4 Sn 2.81-3.03, 2 Li 2.82
9 Sn 0.1145 0.6996 0.2609  4 Li 2.81-3.03, 2 Sn 2.92
10 Sn 0.2609 0.1145 0.6996  4 Li 2.81-3.03, 2 Sn 2.92
11 Sn 0.3004 0.7391 0.8855  4 Li 2.81-3.03, 2 Sn 2.92
12 Sn 0.6996 0.2609 0.1145  4 Li 2.81-3.03, 2 Sn 2.92
13 Sn 0.7391 0.8855 0.3004  4 Li 2.81-3.03, 2 Sn 2.92
14 Sn 0.8855 0.3004 0.7391  4 Li 2.81-3.03, 2 Sn 2.92

Results
Symmetry: R-3
Energy relative to the elements: -0.396 eV per atom
Magnetization: 0.0 μB/f.u.
ρ: 4.54 g/cm3